(1)
First-principles (PBE) data for a relaxed structure of Nb3CoS6, as listed in the Alexandria database.

## Properties
Formation energy from raw total energies (eV/f.u.): -7.516
Energy above the lowest structure with this stoichiometry (meV/atom): 248
E (hartree per atom): -0.25576
SG: No. 36

Cell: 5.881 7.795 7.795 Å, 101.78 90.00 90.00°
Atoms (fractional coordinates):
Nb: 0.457 0.967 0.735
Nb: 0.957 0.735 0.967
Nb: 0.362 0.399 0.601
Nb: 0.862 0.601 0.399
Nb: 0.957 0.033 0.265
Nb: 0.457 0.265 0.033
Co: 0.100 0.212 0.788
Co: 0.600 0.788 0.212
S: 0.161 0.697 0.636
S: 0.661 0.636 0.697
S: 0.220 0.469 0.902
S: 0.720 0.902 0.469
S: 0.151 0.034 0.966
S: 0.698 0.229 0.771
S: 0.198 0.771 0.229
S: 0.651 0.966 0.034
S: 0.220 0.098 0.531
S: 0.720 0.531 0.098
S: 0.161 0.364 0.303
S: 0.661 0.303 0.364

---

(2)
First-principles (PBE) data for a relaxed structure of Nb2CoS4, as listed in the Alexandria database.

## Properties
Formation energy from raw total energies (eV/f.u.): -3.796
Energy above the lowest structure with this stoichiometry (meV/atom): 248
E (hartree per atom): -0.24964
SG: No. 164

Cell: 3.303 3.303 13.603 Å, 90.00 90.00 120.00°
Atoms (fractional coordinates):
Nb: 0.333 0.667 0.267
Nb: 0.667 0.333 0.733
Co: 0.000 0.000 0.000
S: 0.333 0.667 0.089
S: 0.667 0.333 0.911
S: 0.333 0.667 0.621
S: 0.667 0.333 0.379

---

(3)
First-principles (PBE) data for a relaxed structure of NbCoS3, as listed in the Alexandria database.

## Properties
Formation energy from raw total energies (eV/f.u.): 1.464
Energy above the lowest structure with this stoichiometry (meV/atom): 842
E (hartree per atom): -0.20648
SG: No. 221

Cell: 4.314 4.314 4.314 Å, 90.00 90.00 90.00°
Atoms (fractional coordinates):
Nb: 0.500 0.500 0.500
Co: 0.000 0.000 0.000
S: 0.000 0.500 0.000
S: 0.000 0.000 0.500
S: 0.500 0.000 0.000

---

(4)
First-principles (PBE) data for a relaxed structure of NbCoS4, as listed in the Alexandria database.

## Properties
Formation energy from raw total energies (eV/f.u.): -2.392
E (hartree per atom): -0.22097
SG: No. 14

Cell: 5.775 5.654 5.961 Å, 90.00 87.98 90.00°
Atoms (fractional coordinates):
Nb: 0.500 0.000 0.500
Nb: 0.000 0.500 0.500
Co: 0.000 0.000 0.000
Co: 0.500 0.500 0.000
S: 0.875 0.626 0.114
S: 0.625 0.126 0.886
S: 0.373 0.375 0.341
S: 0.127 0.875 0.659
S: 0.125 0.374 0.886
S: 0.375 0.874 0.114
S: 0.627 0.625 0.659
S: 0.873 0.125 0.341

---

(5)
First-principles (PBE) data for a relaxed structure of NbCo2S4, as listed in the Alexandria database.

## Properties
Formation energy from raw total energies (eV/f.u.): 0.262
E (hartree per atom): -0.21278
SG: No. 139

Cell: 4.874 4.874 6.618 Å, 68.39 68.39 90.00°
Each line ends with the local moment (μB).
Atoms (fractional coordinates):
Nb: 0.000 0.000 0.000  -0.04
Co: 0.399 0.399 0.201  2.00
Co: 0.601 0.601 0.799  2.00
S: 0.213 0.213 0.575  0.26
S: 0.787 0.787 0.425  0.26
S: 0.000 0.500 0.000  0.13
S: 0.500 0.000 0.000  0.13

---

(6)
First-principles (PBE) data for a relaxed structure of Nb2CoS4, as listed in the Alexandria database.

## Properties
Formation energy from raw total energies (eV/f.u.): -5.532
Energy above the lowest structure with this stoichiometry (meV/atom): 0
E (hartree per atom): -0.25875
SG: No. 141

Cell: 7.046 7.046 7.055 Å, 59.99 59.99 89.92°
Each line ends with the local moment (μB).
Atoms (fractional coordinates):
Nb: 0.500 0.500 0.500  -0.04
Nb: 0.500 0.000 0.500  -0.04
Nb: 0.000 0.000 0.000  -0.04
Nb: 0.500 0.000 0.000  -0.04
Co: 0.875 0.625 0.750  0.58
Co: 0.125 0.375 0.250  0.58
S: 0.249 0.745 0.003  0.01
S: 0.751 0.255 0.997  0.01
S: 0.245 0.749 0.503  0.01
S: 0.248 0.252 0.497  0.01
S: 0.248 0.252 0.003  0.01
S: 0.752 0.748 0.503  0.01
S: 0.755 0.251 0.497  0.01
S: 0.752 0.748 0.997  0.01

---

(7)
First-principles (PBE) data for a relaxed structure of NbCo3S, as listed in the Alexandria database.

## Properties
Formation energy from raw total energies (eV/f.u.): 1.484
Energy above the lowest structure with this stoichiometry (meV/atom): 0
E (hartree per atom): -0.25012
SG: No. 221

Cell: 4.096 4.096 4.096 Å, 90.00 90.00 90.00°
Each line ends with the local moment (μB).
Atoms (fractional coordinates):
Nb: 0.500 0.500 0.500  0.88
Co: 0.000 0.500 0.000  0.88
Co: 0.000 0.000 0.500  0.68
Co: 0.500 0.000 0.000  1.12
S: 0.000 0.000 0.000  0.07

---

(8)
First-principles (PBE) data for a relaxed structure of Nb2CoS4, as listed in the Alexandria database.

## Properties
Formation energy from raw total energies (eV/f.u.): -4.417
Energy above the lowest structure with this stoichiometry (meV/atom): 159
E (hartree per atom): -0.25290
SG: No. 62

Cell: 3.318 10.037 13.361 Å, 90.00 90.00 90.00°
Each line ends with the local moment (μB).
Atoms (fractional coordinates):
Nb: 0.750 0.360 0.094  0.01
Nb: 0.250 0.640 0.906  0.01
Nb: 0.250 0.140 0.594  0.01
Nb: 0.750 0.860 0.406  0.01
Nb: 0.750 0.011 0.905  -0.01
Nb: 0.250 0.989 0.095  -0.01
Nb: 0.250 0.489 0.405  -0.01
Nb: 0.750 0.511 0.595  -0.01
Co: 0.750 0.273 0.319  0.83
Co: 0.250 0.727 0.681  0.83
Co: 0.250 0.227 0.819  0.83
Co: 0.750 0.773 0.181  0.83
S: 0.750 0.132 0.183  0.01
S: 0.250 0.868 0.817  0.01
S: 0.250 0.368 0.683  0.01
S: 0.750 0.632 0.317  0.01
S: 0.750 0.126 0.744  0.03
S: 0.250 0.874 0.256  0.03
S: 0.250 0.374 0.244  0.03
S: 0.750 0.626 0.756  0.03
S: 0.750 0.449 0.915  0.01
S: 0.250 0.551 0.085  0.01
S: 0.250 0.051 0.415  0.01
S: 0.750 0.949 0.585  0.01
S: 0.750 0.302 0.486  0.01
S: 0.250 0.698 0.514  0.01
S: 0.250 0.198 0.986  0.01
S: 0.750 0.802 0.014  0.01